# PBE-GGA ZnRe2Ni2, optimized geometry
data_ZnRe2Ni2
_cell_length_a 7.3961
_cell_length_b 7.3961
_cell_length_c 2.6088
_cell_angle_alpha 90.00
_cell_angle_beta 90.00
_cell_angle_gamma 90.00
_space_group_name_H-M_alt 'P 1'
_space_group_IT_number 1
_space_group_name_Hall 'P 1'
loop_
_atom_site_label
_atom_site_fract_x
_atom_site_fract_y
_atom_site_fract_z
Ni1 0.1673 0.6673 0.5000
Ni2 0.3327 0.1673 0.5000
Ni3 0.8327 0.3327 0.5000
Ni4 0.6673 0.8327 0.5000
Re1 0.1249 0.3751 0.0000
Re2 0.8751 0.6249 0.0000
Re3 0.6249 0.1249 0.0000
Re4 0.3751 0.8751 0.0000
Zn1 0.0000 0.0000 0.0000
Zn2 0.5000 0.5000 0.0000
# DFT total energy in eV per cell: -71.81
# E_form in meV/atom: 366
# Space group: No. 127
# Total magnetic moment in μB/f.u.: 0.00
# D(E_F) in states/eV/cell: 9.85